Entry 1:
PBE Mg3AsPb, relaxed; energy relative to the elements = 2.23 eV per formula unit; relative energy among the computed polymorphs = 515 meV per atom; VASP energy = -2.182 eV/atom
1.0
5.3148 0.0000 0.0000
0.0000 5.3148 0.0000
0.0000 0.0000 5.3148
Mg As Pb
3 1 1
Direct
0.0000 0.0000 0.5000
0.0000 0.5000 0.0000
0.5000 0.0000 0.0000
0.5000 0.5000 0.5000
0.0000 0.0000 0.0000

Entry 2:
PBE TbSm3Al, relaxed; energy relative to the elements = 0.47 eV per formula unit; relative energy among the computed polymorphs = 219 meV per atom; VASP energy = -4.412 eV/atom
1.0
5.2468 0.0000 0.0000
0.0000 4.7054 3.2625
0.0000 -4.7054 3.2625
Tb Sm Al
1 3 1
Direct
0.0000 0.0000 0.0000
0.0000 0.5271 0.5271
0.5000 0.0722 0.4393
0.5000 0.4393 0.0722
0.5000 0.7711 0.7711

Entry 3:
PBE TcSb2TeSe, relaxed; raw formation energy = 0.433 eV/atom; relative energy among the computed polymorphs = 0 meV per atom; VASP energy = -4.614 eV/atom
1.0
5.2267 0.0000 0.0000
0.0000 5.2267 0.0000
0.0000 0.0000 5.0229
Tc Sb Te Se
1 2 1 1
Direct
0.0000 0.0000 0.0000
0.0000 0.5000 0.0000
0.5000 0.0000 0.0000
0.0000 0.0000 0.5000
0.5000 0.5000 0.5000

> The highest relative energy among the computed polymorphs belongs to which entry?

Mg3AsPb